A plane-wave DFT calculation with GGA-PBE was carried out for a relaxed TbPrDy3In crystal.

Lattice parameters (Å, degrees): 5.271 10.991 6.955 99.38 90.00 103.87
Positions (direct):
Tb1 0.309 0.618 0.940
Tb2 0.691 0.382 0.060
Pr1 0.074 0.148 0.158
Pr2 0.926 0.852 0.842
Dy1 0.856 0.713 0.280
Dy2 0.757 0.514 0.643
Dy3 0.467 0.934 0.223
Dy4 0.243 0.486 0.357
Dy5 0.533 0.066 0.777
Dy6 0.144 0.287 0.720
In1 0.616 0.233 0.435
In2 0.384 0.767 0.565

## Properties
Formation energy from the elements ... -0.079 eV/atom
Size of the total moment ... 0.0 μB/f.u.